Here is Na2YPbF after structural relaxation from Alexandria. Energies are from PBE.

The crystal system is tetragonal. Its calculated total energy is -20.776 eV for the cell shown. The value obtained for the density is 5.43 g/cm3.

abc: 4.6274 4.6274 5.1610
angles: 90.00 90.00 90.00
With the nearest neighbours (Å) after each atom.
Space group P4/mmm (No. 123)
Symmetry-distinct sites (fractional):
Na 0.0000 0.5000 0.0000  2 F 2.31
Y 0.0000 0.0000 0.5000  2 F 2.58
Pb 0.5000 0.5000 0.5000  4 Y 3.27, 8 Na 3.47
F 0.0000 0.0000 0.0000  4 Na 2.31, 2 Y 2.58

Here is Na2ZnPbF8 after structural relaxation from Alexandria. Energies are from PBE.

The crystal system is monoclinic. Its calculated total energy is -50.587 eV for the cell shown. The value obtained for the density is 4.34 g/cm3.

abc: 5.1055 6.8918 5.1306
angles: 90.00 94.04 90.00
With the nearest neighbours (Å) after each atom.
Space group P2/m (No. 10)
Symmetry-distinct sites (fractional):
Na 0.0000 0.2318 0.0000  6 F 2.27-2.38
Zn 0.5000 0.0000 0.5000  2 F 1.88
Pb 0.5000 0.5000 0.5000  6 F 2.08-2.13
F 0.2025 0.5000 0.2005  1 Pb 2.08, 2 Na 2.32
F 0.2315 0.0000 0.2298  1 Zn 1.88
F 0.3152 0.2640 0.6817  1 Pb 2.13, 1 Zn 2.28, 1 Na 2.38

Here is NaZnPb2F after structural relaxation from Alexandria. Energies are from PBE.

The crystal system is tetragonal. Its calculated total energy is -14.034 eV for the cell shown. The value obtained for the density is 6.57 g/cm3.

abc: 5.6985 5.6985 4.0639
angles: 90.00 90.00 90.00
With the nearest neighbours (Å) after each atom.
Space group P4/mmm (No. 123)
Symmetry-distinct sites (fractional):
Na 0.0000 0.0000 0.0000  8 Pb 3.50
Zn 0.5000 0.5000 0.5000  2 F 2.03
Pb 0.0000 0.5000 0.5000  2 Zn 2.85
F 0.5000 0.5000 0.0000  2 Zn 2.03

Here is NaZnPbF6 after structural relaxation from Alexandria. Energies are from PBE.

The crystal system is trigonal. Its calculated total energy is -75.989 eV for the cell shown. The value obtained for the density is 4.95 g/cm3.

abc: 5.7666 5.7666 9.5514
angles: 90.00 90.00 120.00
With the nearest neighbours (Å) after each atom.
Space group P-31c (No. 163)
Symmetry-distinct sites (fractional):
Na 0.0000 0.0000 0.0000  6 F 2.40
Zn 0.3333 0.6667 0.2500  6 F 2.07
Pb 0.3333 0.6667 0.7500  6 F 2.28
F 0.0274 0.3659 0.1332  1 Zn 2.07, 1 Pb 2.28

Here is Na2ZnPbF6 after structural relaxation from Alexandria. Energies are from PBE.

The crystal system is tetragonal. Its calculated total energy is -42.905 eV for the cell shown. The value obtained for the density is 4.04 g/cm3.

abc: 5.9607 5.9607 4.9996
angles: 90.00 90.00 90.00
With the nearest neighbours (Å) after each atom.
Space group P4mm (No. 99)
Symmetry-distinct sites (fractional):
Na 0.0000 0.5000 0.0000  4 F 2.39
Zn 0.0000 0.0000 0.6534  5 F 1.91-2.03
Pb 0.5000 0.5000 0.6268  6 F 2.40-2.56
F 0.0000 0.0000 0.2704  1 Zn 1.91
F 0.2299 0.2299 0.7757  1 Zn 2.03
F 0.5000 0.5000 0.1147  2 Pb 2.44-2.56

Here is Na2ZrPbF8 after structural relaxation from Alexandria. Energies are from PBE.

The crystal system is monoclinic. Its calculated total energy is -66.455 eV for the cell shown. The value obtained for the density is 4.71 g/cm3.

abc: 3.8704 7.9698 5.6768
angles: 90.00 90.19 90.00
With the nearest neighbours (Å) after each atom.
Space group P2/m (No. 10)
Symmetry-distinct sites (fractional):
Na 0.0000 0.2427 0.0000  6 F 2.35-2.51
Zr 0.5000 0.5000 0.5000  8 F 2.09-2.26
Pb 0.5000 0.0000 0.5000  8 F 2.45-2.69
F 0.0008 0.5000 0.7055  2 Zr 2.26, 1 F 2.33
F 0.0016 0.0000 0.7637  2 Na 2.35, 2 Pb 2.45
F 0.4991 0.2949 0.2692  1 Zr 2.09

Q: What is the calculated total energy in the second record?
A: -50.587 eV for the cell shown

Q: The lowest calculated total energy belongs to which entry?
A: NaZnPbF6

Q: Which of these has the lowest calculated total energy?
A: NaZnPbF6

Q: calculated total energy of number 3 (NaZnPb2F)?
A: -14.034 eV for the cell shown